#P
Below is a PBEsol-optimized structure of Zn2CdCl, with properties calculated at the SCAN level.

Geometry as POSCAR:
```
Zn2CdCl
1.0
0.0000 3.4384 3.4384
3.4384 0.0000 3.4384
3.4384 3.4384 0.0000
Zn Cd Cl
2 1 1
Cartesian
0.0000 0.0000 0.0000 Zn
1.7192 1.7192 1.7192 Zn
3.4384 3.4384 3.4384 Cd
5.1576 5.1576 5.1576 Cl
```

Output
For the size of the total moment, the calculation gives 0.00 μB/f.u.

***

#Q
Below is a PBEsol-optimized structure of Zn2CdCl, with properties calculated at the SCAN level.

Geometry as POSCAR:
```
Zn2CdCl
1.0
3.2945 0.0000 0.0000
0.0000 5.3306 0.0000
-0.3865 0.0000 4.4796
Zn Cd Cl
2 1 1
Cartesian
0.6488 0.0000 1.1278 Zn
2.2592 0.0000 3.3518 Zn
-0.1932 2.6653 2.2398 Cd
1.6473 2.6653 0.0000 Cl
```

Output
For the size of the total moment, the calculation gives 0.00 μB/f.u.

***

Preferred: #Q; penalty for the next structure: 165 meV per atom.

***

#P
Below is a PBEsol-optimized structure of CdFeCo, with properties calculated at the SCAN level.

Geometry as POSCAR:
```
CdFeCo
1.0
4.1761 0.0000 0.0000
-2.0881 3.6166 0.0000
0.0000 0.0000 2.6805
Cd Fe Co
1 1 1
Cartesian
0.0000 0.0000 0.0000 Cd
2.0881 1.2055 1.5465 Fe
0.0000 2.4111 1.1220 Co
```

Output
For the size of the total moment, the calculation gives 4.73 μB/f.u.

***

#Q
Below is a PBEsol-optimized structure of CdFeCo, with properties calculated at the SCAN level.

Geometry as POSCAR:
```
CdFeCo
1.0
0.0000 2.8667 2.8667
2.8667 0.0000 2.8667
2.8667 2.8667 0.0000
Cd Fe Co
1 1 1
Cartesian
0.0000 0.0000 0.0000 Cd
2.8667 2.8667 2.8667 Fe
4.3000 4.3000 4.3000 Co
```

Output
For the size of the total moment, the calculation gives 4.57 μB/f.u.

***

Preferred: #P; penalty for the next structure: 375 meV per atom.